Entry 1:
Material: TlAgF3
Method: DFT, GGA-PBE
State: relaxed

Output
As for the uncorrected formation energy: -1.5038 eV per atom. The value obtained for the total energy is -3.670 eV/atom. As for the density of states at the Fermi level: 0.00 states/eV per atom. The space group is C2/c (15).

abc: 6.556 6.556 10.946
angles: 109.41 109.41 56.85
Element x y z (fractional)
Tl: 0.000 0.500 0.000
Tl: 0.247 0.753 0.750
Tl: 0.500 0.000 0.500
Tl: 0.753 0.247 0.250
Ag: 0.190 0.529 0.368
Ag: 0.471 0.810 0.132
Ag: 0.529 0.190 0.868
Ag: 0.810 0.471 0.632
F: 0.079 0.241 0.809
F: 0.226 0.335 0.607
F: 0.231 0.628 0.970
F: 0.241 0.079 0.309
F: 0.335 0.226 0.107
F: 0.372 0.769 0.530
F: 0.628 0.231 0.470
F: 0.665 0.774 0.893
F: 0.759 0.921 0.691
F: 0.769 0.372 0.030
F: 0.774 0.665 0.393
F: 0.921 0.759 0.191

Entry 2:
Material: Tl3AgF6
Method: DFT, GGA-PBE
State: relaxed

Output
As for the uncorrected formation energy: -1.6583 eV per atom. The value obtained for the total energy is -3.776 eV/atom. The space group is Cmc2_1 (36).

abc: 8.305 8.305 5.752
angles: 90.00 90.00 104.92
Element x y z (fractional)
Tl: 0.093 0.907 0.500
Tl: 0.210 0.438 0.553
Tl: 0.438 0.210 0.053
Tl: 0.562 0.790 0.553
Tl: 0.790 0.562 0.053
Tl: 0.907 0.093 0.000
Ag: 0.313 0.687 0.114
Ag: 0.687 0.313 0.614
F: 0.054 0.659 0.318
F: 0.120 0.144 0.265
F: 0.144 0.120 0.765
F: 0.220 0.780 0.749
F: 0.341 0.946 0.318
F: 0.448 0.552 0.887
F: 0.552 0.448 0.387
F: 0.659 0.054 0.818
F: 0.780 0.220 0.249
F: 0.856 0.880 0.265
F: 0.880 0.856 0.765
F: 0.946 0.341 0.818

Entry 3:
Material: TlAgF3
Method: DFT, GGA-PBE
State: relaxed

Output
As for the uncorrected formation energy: -1.4754 eV per atom. The value obtained for the total energy is -3.642 eV/atom. As for the density of states at the Fermi level: 0.00 states/eV per atom. The space group is P1 (1).

abc: 4.340 6.179 7.065
angles: 109.28 102.08 92.66
Element x y z (fractional)
Tl: 0.000 0.000 0.000
Tl: 0.498 0.618 0.345
Ag: 0.432 0.465 0.759
Ag: 0.843 0.171 0.504
F: 0.081 0.876 0.269
F: 0.272 0.299 0.980
F: 0.503 0.880 0.023
F: 0.678 0.046 0.722
F: 0.927 0.640 0.761
F: 0.963 0.318 0.280

Entry 4:
Material: TlAgF3
Method: DFT, GGA-PBE
State: relaxed

Output
As for the uncorrected formation energy: -1.4797 eV per atom. The value obtained for the total energy is -3.646 eV/atom. As for the density of states at the Fermi level: 0.00 states/eV per atom. The space group is P1 (1).

abc: 5.385 5.985 6.041
angles: 86.65 89.73 74.99
Element x y z (fractional)
Tl: 0.000 0.000 0.000
Tl: 0.493 0.221 0.500
Ag: 0.524 0.640 0.282
Ag: 0.694 0.544 0.719
F: 0.098 0.205 0.711
F: 0.271 0.676 0.938
F: 0.284 0.034 0.260
F: 0.694 0.920 0.783
F: 0.762 0.342 0.071
F: 0.815 0.876 0.295

Entry 5:
Material: TlAgF3
Method: DFT, GGA-PBE
State: relaxed

Output
As for the uncorrected formation energy: -1.4831 eV per atom. The value obtained for the total energy is -3.649 eV/atom. As for the density of states at the Fermi level: 0.00 states/eV per atom. The space group is C2/c (15).

abc: 7.190 7.190 7.626
angles: 100.75 100.75 76.70
Element x y z (fractional)
Tl: 0.164 0.836 0.750
Tl: 0.275 0.725 0.250
Tl: 0.725 0.275 0.750
Tl: 0.836 0.164 0.250
Ag: 0.225 0.259 0.982
Ag: 0.259 0.225 0.482
Ag: 0.741 0.775 0.518
Ag: 0.775 0.741 0.018
F: 0.018 0.201 0.657
F: 0.128 0.627 0.982
F: 0.201 0.018 0.157
F: 0.314 0.425 0.298
F: 0.373 0.872 0.518
F: 0.425 0.314 0.798
F: 0.575 0.686 0.202
F: 0.627 0.128 0.482
F: 0.686 0.575 0.702
F: 0.799 0.982 0.843
F: 0.872 0.373 0.018
F: 0.982 0.799 0.343

Entry 6:
Material: TlAgF3
Method: DFT, GGA-PBE
State: relaxed

Output
As for the uncorrected formation energy: -1.4526 eV per atom. The value obtained for the total energy is -3.619 eV/atom. As for the density of states at the Fermi level: 0.32 states/eV per atom. The space group is R-3c (167).

abc: 6.247 6.247 6.247
angles: 60.27 60.27 60.27
Element x y z (fractional)
Tl: 0.250 0.250 0.250
Tl: 0.750 0.750 0.750
Ag: 0.000 0.000 0.000
Ag: 0.500 0.500 0.500
F: 0.224 0.750 0.276
F: 0.250 0.724 0.776
F: 0.276 0.224 0.750
F: 0.724 0.776 0.250
F: 0.750 0.276 0.224
F: 0.776 0.250 0.724

Entry 7:
Material: Tl2AgF4
Method: DFT, GGA-PBE
State: relaxed

Output
As for the uncorrected formation energy: -1.4844 eV per atom. The value obtained for the total energy is -3.637 eV/atom. As for the density of states at the Fermi level: 0.04 states/eV per atom. The space group is P4/mmm (123).

abc: 6.570 6.570 3.652
angles: 90.00 90.00 90.00
Element x y z (fractional)
Tl: 0.000 0.500 0.000
Tl: 0.500 0.000 0.000
Ag: 0.000 0.000 0.500
F: 0.226 0.226 0.500
F: 0.226 0.774 0.500
F: 0.774 0.226 0.500
F: 0.774 0.774 0.500

Entry 8:
Material: TlAgF3
Method: DFT, GGA-PBE
State: relaxed

Output
As for the uncorrected formation energy: -1.4281 eV per atom. The value obtained for the total energy is -3.594 eV/atom. As for the density of states at the Fermi level: 0.02 states/eV per atom. The space group is R-3c (167).

abc: 6.114 6.114 6.114
angles: 63.66 63.66 63.66
Element x y z (fractional)
Tl: 0.000 0.000 0.000
Tl: 0.500 0.500 0.500
Ag: 0.250 0.250 0.250
Ag: 0.750 0.750 0.750
F: 0.115 0.750 0.385
F: 0.250 0.615 0.885
F: 0.385 0.115 0.750
F: 0.615 0.885 0.250
F: 0.750 0.385 0.115
F: 0.885 0.250 0.615

Entry 9:
Material: Tl3AgF6
Method: DFT, GGA-PBE
State: relaxed

Output
As for the uncorrected formation energy: -1.6954 eV per atom. The value obtained for the total energy is -3.813 eV/atom. As for the density of states at the Fermi level: 0.00 states/eV per atom. The space group is P2_1/c (14).

abc: 6.408 6.510 11.070
angles: 90.00 124.86 90.00
Element x y z (fractional)
Tl: 0.000 0.000 0.000
Tl: 0.000 0.500 0.500
Tl: 0.262 0.039 0.752
Tl: 0.262 0.461 0.252
Tl: 0.738 0.539 0.748
Tl: 0.738 0.961 0.248
Ag: 0.500 0.000 0.500
Ag: 0.500 0.500 0.000
F: 0.156 0.027 0.238
F: 0.156 0.473 0.738
F: 0.240 0.725 0.046
F: 0.240 0.775 0.546
F: 0.316 0.196 0.038
F: 0.316 0.304 0.538
F: 0.684 0.696 0.462
F: 0.684 0.804 0.962
F: 0.760 0.225 0.454
F: 0.760 0.275 0.954
F: 0.844 0.527 0.262
F: 0.844 0.973 0.762

Entry 10:
Material: Tl2AgF4
Method: DFT, GGA-PBE
State: relaxed

Output
As for the uncorrected formation energy: -1.5149 eV per atom. The value obtained for the total energy is -3.668 eV/atom. As for the density of states at the Fermi level: 0.31 states/eV per atom. The space group is I4/mmm (139).

abc: 4.465 4.465 13.726
angles: 90.00 90.00 90.00
Element x y z (fractional)
Tl: 0.000 0.000 0.146
Tl: 0.000 0.000 0.854
Tl: 0.500 0.500 0.354
Tl: 0.500 0.500 0.646
Ag: 0.000 0.000 0.500
Ag: 0.500 0.500 0.000
F: 0.000 0.000 0.337
F: 0.000 0.000 0.663
F: 0.000 0.500 0.000
F: 0.000 0.500 0.500
F: 0.500 0.000 0.000
F: 0.500 0.000 0.500
F: 0.500 0.500 0.163
F: 0.500 0.500 0.837

Entry 11:
Material: TlAgF3
Method: DFT, GGA-PBE
State: relaxed

Output
As for the uncorrected formation energy: -1.4056 eV per atom. The value obtained for the total energy is -3.572 eV/atom. As for the density of states at the Fermi level: 0.45 states/eV per atom. The space group is P2_1/m (11).

abc: 5.235 5.731 5.529
angles: 90.00 104.45 90.00
Element x y z (fractional)
Tl: 0.229 0.250 0.432
Tl: 0.771 0.750 0.568
Ag: 0.231 0.750 0.959
Ag: 0.769 0.250 0.041
F: 0.019 0.750 0.259
F: 0.468 0.508 0.735
F: 0.468 0.992 0.735
F: 0.532 0.008 0.265
F: 0.532 0.492 0.265
F: 0.981 0.250 0.741

Entry 12:
Material: TlAgF3
Method: DFT, GGA-PBE
State: relaxed

Output
As for the uncorrected formation energy: -1.2867 eV per atom. The value obtained for the total energy is -3.453 eV/atom. As for the density of states at the Fermi level: 0.00 states/eV per atom. The space group is I-4m2 (119).

abc: 8.824 8.824 8.824
angles: 148.31 148.31 45.42
Element x y z (fractional)
Tl: 0.000 0.000 0.000
Tl: 0.750 0.250 0.500
Ag: 0.161 0.661 0.500
Ag: 0.339 0.839 0.500
F: 0.295 0.295 0.000
F: 0.385 0.138 0.247
F: 0.705 0.705 0.000
F: 0.862 0.109 0.247
F: 0.862 0.615 0.753
F: 0.891 0.138 0.753